Entry 1:
Material: La6Cd2Pd
Method: DFT, GGA-PBE
State: optimized geometry

Cell and atoms, written as CIF:
```
data_La6Cd2Pd
_chemical_formula_sum 'La6 Cd2 Pd1'
_cell_length_a 9.1964
_cell_length_b 9.1964
_cell_length_c 3.8478
_cell_angle_alpha 90.00
_cell_angle_beta 90.00
_cell_angle_gamma 120.00
_space_group_name_H-M_alt 'P -6 2 m'
_space_group_IT_number 189
_space_group_name_Hall 'P -6 -2'
loop_
_atom_site_label
_atom_site_fract_x
_atom_site_fract_y
_atom_site_fract_z
La1 0.0000 0.4010 0.0000
La2 0.0000 0.7505 0.5000
Cd1 0.3333 0.6667 0.5000
Pd1 0.0000 0.0000 0.0000
```

Summary:
- Energy above the lowest structure with this stoichiometry: 0 meV per atom
- V: 281.9 Å³ per cell
- ΔH_f (0 K): -0.33 eV per atom
- Spin magnetization: 0.0 μB per formula unit

Entry 2:
Material: LaPmCdPd
Method: DFT, GGA-PBE
State: optimized geometry

Cell and atoms, written as CIF:
```
data_LaPmCdPd
_chemical_formula_sum 'La4 Pm4 Cd4 Pd4'
_cell_length_a 7.528
_cell_length_b 7.528
_cell_length_c 7.528
_cell_angle_alpha 90.00
_cell_angle_beta 90.00
_cell_angle_gamma 90.00
_space_group_name_H-M_alt 'F -4 3 m'
_space_group_IT_number 216
_space_group_name_Hall 'F -4 2 3'
loop_
_atom_site_label
_atom_site_fract_x
_atom_site_fract_y
_atom_site_fract_z
La1 0.000 0.000 0.000
Pm1 0.000 0.000 0.500
Cd1 0.250 0.250 0.750
Pd1 0.250 0.250 0.250
```

Summary:
- V: 426.5 Å³ per cell
- ΔH_f (0 K): -0.48 eV per atom
- Spin magnetization: 0.0 μB per formula unit

Entry 3:
Material: La5Pr2CdPd2
Method: DFT, GGA-PBE
State: optimized geometry

Cell and atoms, written as CIF:
```
data_La5Pr2CdPd2
_chemical_formula_sum 'La10 Pr4 Cd2 Pd4'
_cell_length_a 12.647
_cell_length_b 12.647
_cell_length_c 3.972
_cell_angle_alpha 90.00
_cell_angle_beta 90.00
_cell_angle_gamma 90.00
_space_group_name_H-M_alt 'P 4/m b m'
_space_group_IT_number 127
_space_group_name_Hall '-P 4 2ab'
loop_
_atom_site_label
_atom_site_fract_x
_atom_site_fract_y
_atom_site_fract_z
La1 0.000 0.500 0.000
La2 0.061 0.205 0.000
Pr1 0.179 0.679 0.500
Cd1 0.000 0.000 0.500
Pd1 0.129 0.371 0.500
```

Summary:
- V: 635.3 Å³ per cell
- ΔH_f (0 K): -0.41 eV per atom
- Spin magnetization: 0.0 μB per formula unit

Entry 4:
Material: La2CdPd2Pt5
Method: DFT, GGA-PBE
State: optimized geometry

Cell and atoms, written as CIF:
```
data_La2CdPd2Pt5
_chemical_formula_sum 'La4 Cd2 Pd4 Pt10'
_cell_length_a 9.560
_cell_length_b 9.560
_cell_length_c 4.258
_cell_angle_alpha 90.00
_cell_angle_beta 90.00
_cell_angle_gamma 90.00
_space_group_name_H-M_alt 'P 4/m b m'
_space_group_IT_number 127
_space_group_name_Hall '-P 4 2ab'
loop_
_atom_site_label
_atom_site_fract_x
_atom_site_fract_y
_atom_site_fract_z
La1 0.175 0.325 0.000
Cd1 0.000 0.000 0.000
Pd1 0.125 0.625 0.000
Pt1 0.000 0.500 0.500
Pt2 0.058 0.795 0.500
```

Summary:
- V: 389.2 Å³ per cell
- ΔH_f (0 K): -0.77 eV per atom
- Spin magnetization: 0.0 μB per formula unit

Entry 5:
Material: LaCd2Pd2Pt
Method: DFT, GGA-PBE
State: optimized geometry

Cell and atoms, written as CIF:
```
data_LaCd2Pd2Pt
_chemical_formula_sum 'La2 Cd4 Pd4 Pt2'
_cell_length_a 5.287
_cell_length_b 5.287
_cell_length_c 10.595
_cell_angle_alpha 90.00
_cell_angle_beta 90.00
_cell_angle_gamma 90.00
_space_group_name_H-M_alt 'I 4/m m m'
_space_group_IT_number 139
_space_group_name_Hall '-I 4 2'
loop_
_atom_site_label
_atom_site_fract_x
_atom_site_fract_y
_atom_site_fract_z
La1 0.000 0.000 0.000
Cd1 0.000 0.500 0.250
Pd1 0.000 0.000 0.252
Pt1 0.000 0.000 0.500
```

Summary:
- V: 296.1 Å³ per cell
- ΔH_f (0 K): -0.16 eV per atom
- Spin magnetization: 0.0 μB per formula unit

Entry 6:
Material: La2CdRePd
Method: DFT, GGA-PBE
State: optimized geometry

Cell and atoms, written as CIF:
```
data_La2CdRePd
_chemical_formula_sum 'La2 Cd1 Re1 Pd1'
_cell_length_a 5.542
_cell_length_b 5.542
_cell_length_c 4.893
_cell_angle_alpha 90.00
_cell_angle_beta 90.00
_cell_angle_gamma 90.00
_space_group_name_H-M_alt 'P 4/m m m'
_space_group_IT_number 123
_space_group_name_Hall '-P 4 2'
loop_
_atom_site_label
_atom_site_fract_x
_atom_site_fract_y
_atom_site_fract_z
La1 0.000 0.500 0.000
Cd1 0.000 0.000 0.500
Re1 0.500 0.500 0.000
Pd1 0.500 0.500 0.500
```

Summary:
- V: 150.3 Å³ per cell
- ΔH_f (0 K): 0.20 eV per atom
- Spin magnetization: 0.0 μB per formula unit

Entry 7:
Material: LaCd2SbPd
Method: DFT, GGA-PBE
State: optimized geometry

Cell and atoms, written as CIF:
```
data_LaCd2SbPd
_chemical_formula_sum 'La1 Cd2 Sb1 Pd1'
_cell_length_a 5.141
_cell_length_b 5.141
_cell_length_c 5.490
_cell_angle_alpha 90.00
_cell_angle_beta 90.00
_cell_angle_gamma 90.00
_space_group_name_H-M_alt 'P 4/m m m'
_space_group_IT_number 123
_space_group_name_Hall '-P 4 2'
loop_
_atom_site_label
_atom_site_fract_x
_atom_site_fract_y
_atom_site_fract_z
La1 0.000 0.000 0.000
Cd1 0.000 0.500 0.500
Sb1 0.500 0.500 0.000
Pd1 0.000 0.000 0.500
```

Summary:
- V: 145.1 Å³ per cell
- Formation energy (no corrections): -356 meV per atom
- Spin magnetization: 0.0 μB per formula unit

Entry 8:
Material: La2CdSb3Pd4
Method: DFT, GGA-PBE
State: optimized geometry

Cell and atoms, written as CIF:
```
data_La2CdSb3Pd4
_chemical_formula_sum 'La2 Cd1 Sb3 Pd4'
_cell_length_a 4.546
_cell_length_b 4.546
_cell_length_c 11.081
_cell_angle_alpha 90.00
_cell_angle_beta 90.00
_cell_angle_gamma 90.00
_space_group_name_H-M_alt 'P -4 m 2'
_space_group_IT_number 115
loop_
_space_group_symop_operation_xyz
'x,y,z'
'y,-x,-z'
'-x,-y,z'
'-y,x,-z'
'-x,y,z'
'-y,-x,-z'
'x,-y,z'
'y,x,-z'
loop_
_atom_site_label
_atom_site_fract_x
_atom_site_fract_y
_atom_site_fract_z
La1 0.000 0.500 0.237
Cd1 0.000 0.000 0.500
Sb1 0.000 0.500 0.868
Sb2 0.500 0.500 0.500
Pd1 0.000 0.000 0.000
Pd2 0.000 0.500 0.635
Pd3 0.500 0.500 0.000
```

Summary:
- V: 229.0 Å³ per cell
- Formation energy (no corrections): -853 meV per atom
- Spin magnetization: 0.0 μB per formula unit